Entry 1:
The following is a PBE calculation of a relaxed Cs2Ba2Tl crystal, from Alexandria via LeMat-Bulk.

**Formation energy from the elements**: 52.6 meV per atom

a = 9.3597 Å, b = 9.3597 Å, c = 8.1065 Å
α = 90.00°, β = 90.00°, γ = 90.00°
Closest atoms and distances in Å follow each position.
Space group P4/mbm (No. 127)
Inequivalent atoms, fractional coordinates:
Cs (0.1823, 0.3177, 0.0000) x4  2 Ba 4.50, 5 Cs 4.83-4.85
Ba (0.1702, 0.6702, 0.5000) x4  2 Tl 3.47
Tl (0.0000, 0.0000, 0.5000) x2  4 Ba 3.47

---

Entry 2:
The following is a PBE calculation of a relaxed Th7In crystal, from Alexandria via LeMat-Bulk.

**Formation energy from the elements**: -47.2 meV per atom

a = 9.9822 Å, b = 9.9822 Å, c = 9.9822 Å
α = 90.00°, β = 90.00°, γ = 90.00°
Closest atoms and distances in Å follow each position.
Space group Fm-3m (No. 225)
Inequivalent atoms, fractional coordinates:
Th (0.0000, 0.0000, 0.0000) x4  12 Th 3.53
Th (0.0000, 0.2500, 0.2500) x24  10 Th 3.53, 2 In 3.53
In (0.0000, 0.0000, 0.5000) x4  12 Th 3.53

---

Entry 3:
The following is a PBE calculation of a relaxed Tm3Th2N4 crystal, from Alexandria via LeMat-Bulk.

**E_form (uncorrected)**: -1.4352 eV per atom

a = 11.4699 Å, b = 3.4642 Å, c = 8.7284 Å
α = 90.00°, β = 117.93°, γ = 90.00°
Closest atoms and distances in Å follow each position.
Space group C2/m (No. 12)
Inequivalent atoms, fractional coordinates:
Tm (0.0000, 0.0000, 0.0000) x2  6 N 2.39-2.45
Tm (0.2121, 0.0000, 0.8209) x4  5 N 2.34-2.44
Th (0.1010, 0.5000, 0.3934) x4  4 N 2.46-2.74
N (0.1027, 0.5000, 0.9045) x4  5 Tm 2.34-2.45, 1 Th 2.55
N (0.1914, 0.0000, 0.2780) x4  3 Tm 2.39-2.42, 2 Th 2.46

---

Entry 4:
The following is a PBE calculation of a relaxed NiPSe2 crystal, from Alexandria via LeMat-Bulk.

**E_form (uncorrected)**: 0.0854 eV per atom

a = 3.6410 Å, b = 3.6410 Å, c = 17.7499 Å
α = 90.00°, β = 90.00°, γ = 120.00°
Closest atoms and distances in Å follow each position.
Space group R-3m (No. 166, hexagonal axes)
Inequivalent atoms, fractional coordinates:
Ni (0.0000, 0.0000, 0.0000) x3  6 Se 2.50
P (0.0000, 0.0000, 0.5000) x3  6 Se 2.65
Se (0.0000, 0.0000, 0.2574) x6  3 Ni 2.50, 3 P 2.65

---

Entry 5:
The following is a PBE calculation of a relaxed EuHg2Sb crystal, from Alexandria via LeMat-Bulk.

**E_form (uncorrected)**: -0.4144 eV per atom
**Relative energy among the computed polymorphs**: 0.065 eV per atom

a = 7.5982 Å, b = 7.5982 Å, c = 7.5982 Å
α = 90.00°, β = 90.00°, γ = 90.00°
Closest atoms and distances in Å follow each position.
Space group Fm-3m (No. 225)
Inequivalent atoms, fractional coordinates:
Eu (0.0000, 0.0000, 0.0000) x4  8 Hg 3.29
Hg (0.2500, 0.2500, 0.2500) x8  4 Sb 3.29, 4 Eu 3.29
Sb (0.0000, 0.0000, 0.5000) x4  8 Hg 3.29

---

Entry 6:
The following is a PBE calculation of a relaxed Ga5Ir4Ru crystal, from Alexandria via LeMat-Bulk.

**Formation energy from the elements**: -404.8 meV per atom

a = 3.0498 Å, b = 3.0498 Å, c = 15.2518 Å
α = 90.00°, β = 90.00°, γ = 90.00°
Closest atoms and distances in Å follow each position.
Space group P4/mmm (No. 123)
Inequivalent atoms, fractional coordinates:
Ga (0.0000, 0.0000, 0.0000) x1  8 Ir 2.64
Ga (0.0000, 0.0000, 0.2027) x2  8 Ir 2.62-2.66
Ga (0.0000, 0.0000, 0.4058) x2  4 Ru 2.59, 4 Ir 2.69, 1 Ga 2.87
Ir (0.5000, 0.5000, 0.1001) x2  8 Ga 2.64-2.66
Ir (0.5000, 0.5000, 0.3002) x2  8 Ga 2.62-2.69
Ru (0.5000, 0.5000, 0.5000) x1  8 Ga 2.59

---

Entry 7:
The following is a PBE calculation of a relaxed ZnTcN2F crystal, from Alexandria via LeMat-Bulk.

**E_form (uncorrected)**: 0.1356 eV per atom
**Relative energy among the computed polymorphs**: 0.000 eV per atom

a = 3.8718 Å, b = 3.8718 Å, c = 4.1924 Å
α = 90.00°, β = 90.00°, γ = 90.00°
Closest atoms and distances in Å follow each position.
Space group P4/mmm (No. 123)
Inequivalent atoms, fractional coordinates:
Zn (0.0000, 0.0000, 0.0000) x1  4 F 2.74, 8 N 2.85
Tc (0.5000, 0.5000, 0.5000) x1  4 N 1.94, 2 F 2.10
N (0.0000, 0.5000, 0.5000) x2  2 Tc 1.94
F (0.5000, 0.5000, 0.0000) x1  2 Tc 2.10

---

Entry 8:
The following is a PBE calculation of a relaxed SiPt3 crystal, from Alexandria via LeMat-Bulk.

**E_form (uncorrected)**: -0.2061 eV per atom

a = 4.0015 Å, b = 4.0015 Å, c = 7.5036 Å
α = 90.00°, β = 90.00°, γ = 90.00°
Closest atoms and distances in Å follow each position.
Space group I4/mmm (No. 139)
Inequivalent atoms, fractional coordinates:
Si (0.0000, 0.0000, 0.0000) x2  12 Pt 2.74-2.83
Pt (0.0000, 0.0000, 0.5000) x2  8 Pt 2.74, 4 Si 2.83
Pt (0.0000, 0.5000, 0.2500) x4  8 Pt 2.74-2.83, 4 Si 2.74

---

Entry 9:
The following is a PBE calculation of a relaxed Sm12Ga6Si crystal, from Alexandria via LeMat-Bulk.

**E_form (uncorrected)**: -0.2056 eV per atom

a = 13.1123 Å, b = 13.1123 Å, c = 12.2592 Å
α = 90.00°, β = 90.00°, γ = 120.00°
Closest atoms and distances in Å follow each position.
Space group R-3 (No. 148, hexagonal axes)
Inequivalent atoms, fractional coordinates:
Sm (0.0354, 0.8262, 0.3906) x18  4 Ga 2.93-3.24
Sm (0.0422, 0.8340, 0.8837) x18  1 Si 2.88, 2 Ga 2.95-3.00
Ga (0.0484, 0.7840, 0.6497) x18  6 Sm 2.93-3.24
Si (0.0000, 0.0000, 0.0000) x3  6 Sm 2.88

---

Entry 10:
The following is a PBE calculation of a relaxed Sm2Cu3Si crystal, from Alexandria via LeMat-Bulk.

**E_form (uncorrected)**: -0.3903 eV per atom

a = 3.7814 Å, b = 4.1684 Å, c = 7.4526 Å
α = 90.00°, β = 90.00°, γ = 90.00°
Closest atoms and distances in Å follow each position.
Space group Pmm2 (No. 25)
Inequivalent atoms, fractional coordinates:
Sm (0.0000, 0.0000, 0.0000) x1  10 Cu 3.07-3.19, 2 Si 3.10
Sm (0.0000, 0.5000, 0.4969) x1  8 Cu 3.05-3.16, 4 Si 3.08
Cu (0.5000, 0.0000, 0.6553) x1  1 Si 2.43, 2 Cu 2.49
Cu (0.5000, 0.5000, 0.1726) x1  2 Si 2.39, 1 Cu 2.50
Cu (0.5000, 0.5000, 0.8370) x1  3 Cu 2.49-2.50
Si (0.5000, 0.0000, 0.3294) x1  3 Cu 2.39-2.43

---

Entry 11:
The following is a PBE calculation of a relaxed TeP2PbCl crystal, from Alexandria via LeMat-Bulk.

**E_form (uncorrected)**: 0.6067 eV per atom
**Relative energy among the computed polymorphs**: 0.000 eV per atom

a = 5.3395 Å, b = 5.3395 Å, c = 5.4954 Å
α = 90.00°, β = 90.00°, γ = 90.00°
Closest atoms and distances in Å follow each position.
Space group P4/mmm (No. 123)
Inequivalent atoms, fractional coordinates:
Te (0.0000, 0.0000, 0.0000) x1  4 P 2.67, 2 Cl 2.75
P (0.0000, 0.5000, 0.0000) x2  2 Te 2.67
Pb (0.5000, 0.5000, 0.5000) x1  4 Cl 3.78, 8 P 3.83
Cl (0.0000, 0.0000, 0.5000) x1  2 Te 2.75

---

Entry 12:
The following is a PBE calculation of a relaxed SrTc6S8 crystal, from Alexandria via LeMat-Bulk.

**E_form (uncorrected)**: -0.6962 eV per atom

a = 9.1251 Å, b = 9.1251 Å, c = 11.4051 Å
α = 90.00°, β = 90.00°, γ = 120.00°
Closest atoms and distances in Å follow each position.
Space group R-3 (No. 148, hexagonal axes)
Inequivalent atoms, fractional coordinates:
Sr (0.0000, 0.0000, 0.0000) x3  8 S 2.84-3.05
Tc (0.0142, 0.8376, 0.4026) x18  5 S 2.34-2.54
S (0.0000, 0.0000, 0.2490) x6  3 Tc 2.34
S (0.0049, 0.6284, 0.2522) x18  4 Tc 2.41-2.54